# 1
A relaxed Nd4AlSn4 crystal. Source: Alexandria, functional PBE.

Structure (CIF):
```
data_Nd4AlSn4
_symmetry_space_group_name_H-M 'I 4/m'
_symmetry_Int_Tables_number 87
_symmetry_space_group_name_Hall '-I 4'
_cell_length_a 9.525
_cell_length_b 9.525
_cell_length_c 6.318
_cell_angle_alpha 90.00
_cell_angle_beta 90.00
_cell_angle_gamma 90.00
loop_
_atom_site_label
_atom_site_type_symbol
_atom_site_fract_x
_atom_site_fract_y
_atom_site_fract_z
Nd1 Nd 0.083 0.276 0.000
Al1 Al 0.000 0.000 0.500
Sn1 Sn 0.081 0.286 0.500
```

Raw total energy, eV per atom: -4.61
D(E_F), states/eV/f.u.: 6.36
Energy of formation, eV per atom: -0.296

# 2
A relaxed LiAs2Au crystal. Source: Alexandria, functional PBE.

Structure (CIF):
```
data_LiAs2Au
_symmetry_space_group_name_H-M 'P 4 m m'
_symmetry_Int_Tables_number 99
_cell_length_a 2.789
_cell_length_b 2.789
_cell_length_c 9.133
_cell_angle_alpha 90.00
_cell_angle_beta 90.00
_cell_angle_gamma 90.00
loop_
_symmetry_equiv_pos_as_xyz
'x,y,z'
'-y,x,z'
'-x,-y,z'
'y,-x,z'
'-x,y,z'
'y,x,z'
'x,-y,z'
'-y,-x,z'
loop_
_atom_site_label
_atom_site_type_symbol
_atom_site_fract_x
_atom_site_fract_y
_atom_site_fract_z
Li1 Li 0.000 0.000 0.000
As1 As 0.000 0.000 0.527
As2 As 0.500 0.500 0.219
Au1 Au 0.500 0.500 0.783
```

Raw total energy, eV per atom: -3.69
Distance to the lowest polymorph of the same formula, meV/atom: 164
D(E_F), states/eV/f.u.: 1.87
Energy of formation, eV per atom: -0.072

# 3
A relaxed LiP2S4 crystal. Source: Alexandria, functional PBE.

Structure (CIF):
```
data_LiP2S4
_symmetry_space_group_name_H-M 'I 4/m'
_symmetry_Int_Tables_number 87
_symmetry_space_group_name_Hall '-I 4'
_cell_length_a 7.113
_cell_length_b 7.113
_cell_length_c 5.982
_cell_angle_alpha 90.00
_cell_angle_beta 90.00
_cell_angle_gamma 90.00
loop_
_atom_site_label
_atom_site_type_symbol
_atom_site_fract_x
_atom_site_fract_y
_atom_site_fract_z
Li1 Li 0.000 0.000 0.000
P1 P 0.000 0.500 0.250
S1 S 0.166 0.674 0.000
```

Raw total energy, eV per atom: -4.28
D(E_F), states/eV/f.u.: 1.93
Uncorrected formation energy, meV/atom: -103

# 4
A relaxed Pm2NdFe crystal. Source: Alexandria, functional PBE.

Structure (CIF):
```
data_Pm2NdFe
_symmetry_space_group_name_H-M 'P 4/m m m'
_symmetry_Int_Tables_number 123
_symmetry_space_group_name_Hall '-P 4 2'
_cell_length_a 3.538
_cell_length_b 3.538
_cell_length_c 9.019
_cell_angle_alpha 90.00
_cell_angle_beta 90.00
_cell_angle_gamma 90.00
loop_
_atom_site_label
_atom_site_type_symbol
_atom_site_fract_x
_atom_site_fract_y
_atom_site_fract_z
Pm1 Pm 0.000 0.000 0.186
Nd1 Nd 0.500 0.500 0.500
Fe1 Fe 0.500 0.500 0.000
```

Raw total energy, eV per atom: -5.53
Distance to the lowest polymorph of the same formula, meV/atom: 0
D(E_F), states/eV/f.u.: 6.20
Energy of formation, eV per atom: 0.154

# 5
A relaxed Pu3Tl2RhO12 crystal. Source: Alexandria, functional PBE.

Structure (CIF):
```
data_Pu3Tl2RhO12
_symmetry_space_group_name_H-M 'R -3 m'
_symmetry_Int_Tables_number 166
_symmetry_space_group_name_Hall '-R 3 2"'
_cell_length_a 7.8556
_cell_length_b 7.8556
_cell_length_c 17.7807
_cell_angle_alpha 90.00
_cell_angle_beta 90.00
_cell_angle_gamma 120.00
loop_
_atom_site_label
_atom_site_type_symbol
_atom_site_fract_x
_atom_site_fract_y
_atom_site_fract_z
Pu1 Pu 0.0000 0.5000 0.0000
Tl1 Tl 0.0000 0.0000 0.1542
Rh1 Rh 0.0000 0.0000 0.5000
O1 O 0.0849 0.5425 0.3624
O2 O 0.0865 0.5433 0.1051
```

Raw total energy, eV per atom: -8.28
D(E_F), states/eV/f.u.: 7.61
Uncorrected formation energy, meV/atom: -1917

# 6
A relaxed Tl2FeMo crystal. Source: Alexandria, functional PBE.

Structure (CIF):
```
data_Tl2FeMo
_symmetry_space_group_name_H-M 'C 1 2/m 1'
_symmetry_Int_Tables_number 12
_cell_length_a 6.087
_cell_length_b 9.333
_cell_length_c 2.971
_cell_angle_alpha 90.00
_cell_angle_beta 113.30
_cell_angle_gamma 90.00
loop_
_symmetry_equiv_pos_as_xyz
'x,y,z'
'-x,-y,-z'
'-x,y,-z'
'x,-y,z'
'x+1/2,y+1/2,z'
'-x+1/2,-y+1/2,-z'
'-x+1/2,y+1/2,-z'
'x+1/2,-y+1/2,z'
loop_
_atom_site_label
_atom_site_type_symbol
_atom_site_fract_x
_atom_site_fract_y
_atom_site_fract_z
Tl1 Tl 0.250 0.250 0.000
Fe1 Fe 0.000 0.000 0.500
Mo1 Mo 0.000 0.500 0.500
```

Raw total energy, eV per atom: -5.19
Distance to the lowest polymorph of the same formula, meV/atom: 332
D(E_F), states/eV/f.u.: 2.51
Energy of formation, eV per atom: 0.817

# 7
A relaxed TlRe4Os crystal. Source: Alexandria, functional PBE.

Structure (CIF):
```
data_TlRe4Os
_symmetry_space_group_name_H-M 'F -4 3 m'
_symmetry_Int_Tables_number 216
_symmetry_space_group_name_Hall 'F -4 2 3'
_cell_length_a 7.382
_cell_length_b 7.382
_cell_length_c 7.382
_cell_angle_alpha 90.00
_cell_angle_beta 90.00
_cell_angle_gamma 90.00
loop_
_atom_site_label
_atom_site_type_symbol
_atom_site_fract_x
_atom_site_fract_y
_atom_site_fract_z
Tl1 Tl 0.000 0.000 0.000
Re1 Re 0.125 0.125 0.375
Os1 Os 0.250 0.250 0.750
```

Raw total energy, eV per atom: -9.66
D(E_F), states/eV/f.u.: 5.75
Energy of formation, eV per atom: 0.900

# 8
A relaxed La2RuC crystal. Source: Alexandria, functional PBE.

Structure (CIF):
```
data_La2RuC
_symmetry_space_group_name_H-M 'I -4 2 d'
_symmetry_Int_Tables_number 122
_symmetry_space_group_name_Hall 'I -4 2bw'
_cell_length_a 6.965
_cell_length_b 6.965
_cell_length_c 7.475
_cell_angle_alpha 90.00
_cell_angle_beta 90.00
_cell_angle_gamma 90.00
loop_
_atom_site_label
_atom_site_type_symbol
_atom_site_fract_x
_atom_site_fract_y
_atom_site_fract_z
La1 La 0.225 0.250 0.125
Ru1 Ru 0.000 0.000 0.500
C1 C 0.000 0.000 0.000
```

Raw total energy, eV per atom: -6.64
D(E_F), states/eV/f.u.: 4.62
Energy of formation, eV per atom: 0.452

# 9
A relaxed YHoNiPt crystal. Source: Alexandria, functional PBE.

Structure (CIF):
```
data_YHoNiPt
_symmetry_space_group_name_H-M 'A m m 2'
_symmetry_Int_Tables_number 38
_cell_length_a 4.307
_cell_length_b 3.830
_cell_length_c 10.328
_cell_angle_alpha 90.00
_cell_angle_beta 90.00
_cell_angle_gamma 90.00
loop_
_symmetry_equiv_pos_as_xyz
'x,y,z'
'-x,-y,z'
'-x,y,z'
'x,-y,z'
'x,y+1/2,z+1/2'
'-x,-y+1/2,z+1/2'
'-x,y+1/2,z+1/2'
'x,-y+1/2,z+1/2'
loop_
_atom_site_label
_atom_site_type_symbol
_atom_site_fract_x
_atom_site_fract_y
_atom_site_fract_z
Y1 Y 0.000 0.000 0.000
Ho1 Ho 0.500 0.000 0.281
Ni1 Ni 0.000 0.000 0.721
Pt1 Pt 0.500 0.000 0.565
```

Raw total energy, eV per atom: -6.59
Distance to the lowest polymorph of the same formula, meV/atom: 0
D(E_F), states/eV/f.u.: 2.80
Energy of formation, eV per atom: -0.870

# 10
A relaxed TaAlTe2 crystal. Source: Alexandria, functional PBE.

Structure (CIF):
```
data_TaAlTe2
_symmetry_space_group_name_H-M 'C m m m'
_symmetry_Int_Tables_number 65
_symmetry_space_group_name_Hall '-C 2 2'
_cell_length_a 3.528
_cell_length_b 5.330
_cell_length_c 10.282
_cell_angle_alpha 90.00
_cell_angle_beta 90.00
_cell_angle_gamma 90.00
loop_
_atom_site_label
_atom_site_type_symbol
_atom_site_fract_x
_atom_site_fract_y
_atom_site_fract_z
Ta1 Ta 0.000 0.000 0.000
Al1 Al 0.000 0.000 0.500
Te1 Te 0.000 0.500 0.217
```

Raw total energy, eV per atom: -5.11
D(E_F), states/eV/f.u.: 2.97
Uncorrected formation energy, meV/atom: 360

# 11
A relaxed Nd3TlOs crystal. Source: Alexandria, functional PBE.

Structure (CIF):
```
data_Nd3TlOs
_symmetry_space_group_name_H-M 'P m -3 m'
_symmetry_Int_Tables_number 221
_symmetry_space_group_name_Hall '-P 4 2 3'
_cell_length_a 5.538
_cell_length_b 5.538
_cell_length_c 5.538
_cell_angle_alpha 90.00
_cell_angle_beta 90.00
_cell_angle_gamma 90.00
loop_
_atom_site_label
_atom_site_type_symbol
_atom_site_fract_x
_atom_site_fract_y
_atom_site_fract_z
Nd1 Nd 0.000 0.000 0.500
Tl1 Tl 0.500 0.500 0.500
Os1 Os 0.000 0.000 0.000
```

Raw total energy, eV per atom: -5.58
Distance to the lowest polymorph of the same formula, meV/atom: 205
D(E_F), states/eV/f.u.: 3.79
Energy of formation, eV per atom: 0.002

# 12
A relaxed Pm2GePPd6 crystal. Source: Alexandria, functional PBE.

Structure (CIF):
```
data_Pm2GePPd6
_symmetry_space_group_name_H-M 'P m m n'
_symmetry_Int_Tables_number 59
_cell_length_a 5.572
_cell_length_b 8.718
_cell_length_c 8.065
_cell_angle_alpha 90.00
_cell_angle_beta 90.00
_cell_angle_gamma 90.00
loop_
_symmetry_equiv_pos_as_xyz
'x,y,z'
'-x,-y,-z'
'-x+1/2,-y+1/2,z'
'x+1/2,y+1/2,-z'
'x+1/2,-y,-z'
'-x+1/2,y,z'
'-x,y+1/2,-z'
'x,-y+1/2,z'
loop_
_atom_site_label
_atom_site_type_symbol
_atom_site_fract_x
_atom_site_fract_y
_atom_site_fract_z
Pm1 Pm 0.250 0.009 0.235
Ge1 Ge 0.250 0.750 0.774
P1 P 0.250 0.250 0.741
Pd1 Pd 0.000 0.250 0.494
Pd2 Pd 0.003 0.250 0.977
Pd3 Pd 0.250 0.002 0.620
```

Raw total energy, eV per atom: -5.83
D(E_F), states/eV/f.u.: 3.52
Energy of formation, eV per atom: -0.764

> The lowest D(E_F) belongs to which entry?

LiAs2Au